Version w
Entry from Alexandria via LeMat-Bulk: a geometry-optimized ZrAgPt structure (PBE). Values from VASP.

The structure in Quantum ESPRESSO input format:
```
&SYSTEM
  ibrav = 0, nat = 3, ntyp = 3
/
ATOMIC_SPECIES
Zr 91.22 Zr.upf
Ag 107.87 Ag.upf
Pt 195.08 Pt.upf
ATOMIC_POSITIONS angstrom
Zr 0.000 0.000 0.000
Ag 0.000 0.000 6.005
Pt 0.000 0.000 3.122
CELL_PARAMETERS angstrom
-1.770 1.770 4.424
1.770 -1.770 4.424
1.770 1.770 -4.424
```

## Properties
magnetization = 0.00 Bohr magnetons per cell
symmetry = I4mm, No. 107

=====

Version x
Entry from Alexandria via LeMat-Bulk: a geometry-optimized ZrAgPt structure (PBE). Values from VASP.

The structure in Quantum ESPRESSO input format:
```
&SYSTEM
  ibrav = 0, nat = 12, ntyp = 3
/
ATOMIC_SPECIES
Zr 91.22 Zr.upf
Ag 107.87 Ag.upf
Pt 195.08 Pt.upf
ATOMIC_POSITIONS angstrom
Zr 2.426 1.863 5.861
Zr 2.426 1.863 9.532
Zr 2.426 11.323 5.861
Zr 2.426 11.323 9.532
Ag 2.426 4.112 7.696
Ag 2.426 6.593 6.291
Ag 2.426 6.593 9.101
Ag 2.426 9.074 7.696
Pt 2.426 4.385 4.681
Pt 2.426 8.801 4.681
Pt 2.426 4.385 10.712
Pt 2.426 8.801 10.712
CELL_PARAMETERS angstrom
0.000 6.593 7.696
2.426 0.000 7.696
2.426 6.593 0.000
```

## Properties
magnetization = 0.00 Bohr magnetons per cell
symmetry = Fmmm, No. 69

=====

Computed relative energies in units of eV/atom: version w 0.000; version x 0.279

=====

Version w
Entry from Alexandria via LeMat-Bulk: a geometry-optimized Zr2AgPt2 structure (PBE). Values from VASP.

The structure in Quantum ESPRESSO input format:
```
&SYSTEM
  ibrav = 0, nat = 10, ntyp = 3
/
ATOMIC_SPECIES
Zr 91.22 Zr.upf
Ag 107.87 Ag.upf
Pt 195.08 Pt.upf
ATOMIC_POSITIONS angstrom
Zr 1.296 2.775 0.000
Zr 2.775 6.846 0.000
Zr 5.367 1.296 0.000
Zr 6.846 5.367 0.000
Ag 0.000 0.000 0.000
Ag 4.071 4.071 0.000
Pt 1.092 5.163 1.487
Pt 2.979 1.092 1.487
Pt 5.163 7.050 1.487
Pt 7.050 2.979 1.487
CELL_PARAMETERS angstrom
8.142 0.000 0.000
0.000 8.142 0.000
0.000 0.000 2.975
```

## Properties
magnetization = 0.00 Bohr magnetons per cell
symmetry = P4/mbm, No. 127

=====

Version x
Entry from Alexandria via LeMat-Bulk: a geometry-optimized Zr2AgPt2 structure (PBE). Values from VASP.

The structure in Quantum ESPRESSO input format:
```
&SYSTEM
  ibrav = 0, nat = 5, ntyp = 3
/
ATOMIC_SPECIES
Zr 91.22 Zr.upf
Ag 107.87 Ag.upf
Pt 195.08 Pt.upf
ATOMIC_POSITIONS angstrom
Zr 2.332 0.000 2.546
Zr 0.000 2.332 2.546
Ag 0.000 0.000 0.000
Pt 0.000 0.000 3.834
Pt 0.000 0.000 6.348
CELL_PARAMETERS angstrom
-2.332 2.332 5.091
2.332 -2.332 5.091
2.332 2.332 -5.091
```

## Properties
magnetization = 0.00 Bohr magnetons per cell
symmetry = I4/mmm, No. 139

=====

Version y
Entry from Alexandria via LeMat-Bulk: a geometry-optimized Zr2AgPt2 structure (PBE). Values from VASP.

The structure in Quantum ESPRESSO input format:
```
&SYSTEM
  ibrav = 0, nat = 10, ntyp = 3
/
ATOMIC_SPECIES
Zr 91.22 Zr.upf
Ag 107.87 Ag.upf
Pt 195.08 Pt.upf
ATOMIC_POSITIONS angstrom
Zr 1.276 2.540 0.000
Zr 2.540 6.356 0.000
Zr 5.092 1.276 0.000
Zr 6.356 5.092 0.000
Ag 0.000 0.000 1.665
Ag 3.816 3.816 1.665
Pt 1.008 4.824 1.665
Pt 2.808 1.008 1.665
Pt 4.824 6.624 1.665
Pt 6.624 2.808 1.665
CELL_PARAMETERS angstrom
7.632 0.000 0.000
0.000 7.632 0.000
0.000 0.000 3.330
```

## Properties
magnetization = 0.00 Bohr magnetons per cell
symmetry = P4/mbm, No. 127

=====

Computed relative energies in units of eV/atom: version w 0.214; version x 0.266; version y 0.000

=====

Version w
Entry from Alexandria via LeMat-Bulk: a geometry-optimized PuAg6 structure (PBE). Values from VASP.

The structure in Quantum ESPRESSO input format:
```
&SYSTEM
  ibrav = 0, nat = 28, ntyp = 2
/
ATOMIC_SPECIES
Pu 244.00 Pu.upf
Ag 107.87 Ag.upf
ATOMIC_POSITIONS angstrom
Pu 2.199 1.406 0.756
Pu 2.330 4.218 6.418
Pu 6.727 1.406 4.906
Pu 6.858 4.218 10.568
Ag 0.557 0.042 3.480
Ag 0.557 2.770 3.480
Ag 0.558 4.218 0.973
Ag 0.954 1.406 5.878
Ag 1.336 4.218 9.641
Ag 1.693 1.406 8.620
Ag 2.835 4.218 2.958
Ag 3.193 1.406 3.979
Ag 3.574 4.218 0.216
Ag 3.970 1.406 6.635
Ag 3.971 2.854 9.142
Ag 3.971 5.582 9.142
Ag 5.086 0.042 2.182
Ag 5.086 2.770 2.182
Ag 5.087 4.218 4.689
Ag 5.482 1.406 11.108
Ag 5.864 4.218 7.346
Ag 6.221 1.406 8.366
Ag 7.364 4.218 2.704
Ag 7.721 1.406 1.684
Ag 8.103 4.218 5.446
Ag 8.498 1.406 10.351
Ag 8.499 2.854 7.844
Ag 8.499 5.582 7.844
CELL_PARAMETERS angstrom
9.057 0.000 0.000
0.000 5.624 0.000
0.000 0.000 11.324
```

## Properties
magnetization = 23.52 Bohr magnetons per cell
symmetry = Pnma, No. 62

=====

Version x
Entry from Alexandria via LeMat-Bulk: a geometry-optimized PuAg6 structure (PBE). Values from VASP.

The structure in Quantum ESPRESSO input format:
```
&SYSTEM
  ibrav = 0, nat = 7, ntyp = 2
/
ATOMIC_SPECIES
Pu 244.00 Pu.upf
Ag 107.87 Ag.upf
ATOMIC_POSITIONS angstrom
Pu 0.000 0.000 0.000
Ag 3.700 1.850 0.000
Ag 3.700 0.000 1.850
Ag 1.850 3.700 0.000
Ag 1.850 0.000 3.700
Ag 0.000 3.700 1.850
Ag 0.000 1.850 3.700
CELL_PARAMETERS angstrom
-3.700 3.700 3.700
3.700 -3.700 3.700
3.700 3.700 -3.700
```

## Properties
magnetization = 6.28 Bohr magnetons per cell
symmetry = Im-3m, No. 229

=====

Computed relative energies in units of eV/atom: version w 0.000; version x 0.598

=====

Version w
Entry from Alexandria via LeMat-Bulk: a geometry-optimized PuAgRh structure (PBE). Values from VASP.

The structure in Quantum ESPRESSO input format:
```
&SYSTEM
  ibrav = 0, nat = 3, ntyp = 3
/
ATOMIC_SPECIES
Pu 244.00 Pu.upf
Ag 107.87 Ag.upf
Rh 102.91 Rh.upf
ATOMIC_POSITIONS angstrom
Pu 0.000 0.000 0.000
Ag 0.000 2.739 1.610
Rh 2.372 1.369 1.237
CELL_PARAMETERS angstrom
4.744 0.000 0.000
-2.372 4.108 0.000
0.000 0.000 3.025
```

## Properties
magnetization = 5.18 Bohr magnetons per cell
symmetry = P3m1, No. 156

=====

Version x
Entry from Alexandria via LeMat-Bulk: a geometry-optimized PuAgRh structure (PBE). Values from VASP.

The structure in Quantum ESPRESSO input format:
```
&SYSTEM
  ibrav = 0, nat = 3, ntyp = 3
/
ATOMIC_SPECIES
Pu 244.00 Pu.upf
Ag 107.87 Ag.upf
Rh 102.91 Rh.upf
ATOMIC_POSITIONS angstrom
Pu 0.000 0.000 0.000
Ag 0.000 0.000 7.374
Rh 0.000 0.000 3.721
CELL_PARAMETERS angstrom
-1.692 1.692 5.260
1.692 -1.692 5.260
1.692 1.692 -5.260
```

## Properties
magnetization = 5.16 Bohr magnetons per cell
symmetry = I4mm, No. 107

=====

Version y
Entry from Alexandria via LeMat-Bulk: a geometry-optimized PuAgRh structure (PBE). Values from VASP.

The structure in Quantum ESPRESSO input format:
```
&SYSTEM
  ibrav = 0, nat = 6, ntyp = 3
/
ATOMIC_SPECIES
Pu 244.00 Pu.upf
Ag 107.87 Ag.upf
Rh 102.91 Rh.upf
ATOMIC_POSITIONS angstrom
Pu 0.001 0.987 1.683
Pu 1.820 2.962 7.074
Ag 0.009 0.987 4.965
Ag 1.812 2.962 3.791
Rh 0.017 0.987 7.780
Rh 1.803 2.962 0.977
CELL_PARAMETERS angstrom
3.607 0.000 0.000
0.000 3.950 0.000
-1.786 0.000 8.757
```

## Properties
magnetization = 9.89 Bohr magnetons per cell
symmetry = P2_1/m, No. 11

=====

Computed relative energies in units of eV/atom: version w 0.196; version x 0.185; version y 0.000

=====

Version w
Entry from Alexandria via LeMat-Bulk: a geometry-optimized PuScAgRu structure (PBE). Values from VASP.

The structure in Quantum ESPRESSO input format:
```
&SYSTEM
  ibrav = 0, nat = 4, ntyp = 4
/
ATOMIC_SPECIES
Pu 244.00 Pu.upf
Sc 44.96 Sc.upf
Ag 107.87 Ag.upf
Ru 101.07 Ru.upf
ATOMIC_POSITIONS angstrom
Pu 0.000 0.000 0.000
Sc 0.000 0.000 4.282
Ag 1.617 1.617 2.368
Ru 1.617 1.617 5.823
CELL_PARAMETERS angstrom
3.235 0.000 0.000
0.000 3.235 0.000
0.000 0.000 7.645
```

## Properties
magnetization = 5.54 Bohr magnetons per cell
symmetry = P4mm, No. 99

=====

Version x
Entry from Alexandria via LeMat-Bulk: a geometry-optimized PuScAgRu structure (PBE). Values from VASP.

The structure in Quantum ESPRESSO input format:
```
&SYSTEM
  ibrav = 0, nat = 4, ntyp = 4
/
ATOMIC_SPECIES
Pu 244.00 Pu.upf
Sc 44.96 Sc.upf
Ag 107.87 Ag.upf
Ru 101.07 Ru.upf
ATOMIC_POSITIONS angstrom
Pu 0.000 0.000 0.000
Sc 3.420 3.420 3.420
Ag 5.130 5.130 5.130
Ru 1.710 1.710 1.710
CELL_PARAMETERS angstrom
0.000 3.420 3.420
3.420 0.000 3.420
3.420 3.420 0.000
```

## Properties
magnetization = 5.50 Bohr magnetons per cell
symmetry = F-43m, No. 216

=====

Computed relative energies in units of eV/atom: version w 0.000; version x 0.178